# ScWSe | the Alexandria database | PBEsol | optimized geometry
# space-group type	F-43m (216)
# energy relative to the elements, uncorrected	0.68	eV per atom
# polymorph energy (0 for the lowest one)	15.69	kcal/mol of atoms
data_ScWSe
_cell_length_a 4.348
_cell_length_b 4.348
_cell_length_c 4.348
_cell_angle_alpha 60.00
_cell_angle_beta 60.00
_cell_angle_gamma 60.00
_symmetry_space_group_name_H-M 'P 1'
_symmetry_Int_Tables_number 1
_symmetry_space_group_name_Hall 'P 1'
loop_
_atom_site_label
_atom_site_type_symbol
_atom_site_fract_x
_atom_site_fract_y
_atom_site_fract_z
_atom_site_occupancy
W1 W 0.250 0.250 0.250 1
Se1 Se 0.500 0.500 0.500 1
Sc1 Sc 0.000 0.000 0.000 1

***

# CoSb2TeAu | the Alexandria database | PBEsol | optimized geometry
# space-group type	P4/mmm (123)
# energy relative to the elements, uncorrected	1.22	eV per atom
data_CoSb2TeAu
_cell_length_a 5.240
_cell_length_b 5.240
_cell_length_c 5.392
_cell_angle_alpha 90.00
_cell_angle_beta 90.00
_cell_angle_gamma 90.00
_symmetry_space_group_name_H-M 'P 1'
_symmetry_Int_Tables_number 1
_symmetry_space_group_name_Hall 'P 1'
loop_
_atom_site_label
_atom_site_type_symbol
_atom_site_fract_x
_atom_site_fract_y
_atom_site_fract_z
_atom_site_occupancy
Au1 Au 0.000 0.000 0.000 1
Sb1 Sb 0.000 0.500 0.000 1
Sb2 Sb 0.500 0.000 0.000 1
Te1 Te 0.000 0.000 0.500 1
Co1 Co 0.500 0.500 0.500 1

***

# LaYIn2 | the Alexandria database | PBEsol | optimized geometry
# space-group type	Imm2 (44)
# energy relative to the elements	-482	meV/atom
data_LaYIn2
_cell_length_a 4.147
_cell_length_b 4.956
_cell_length_c 6.236
_cell_angle_alpha 113.41
_cell_angle_beta 109.42
_cell_angle_gamma 90.00
_symmetry_space_group_name_H-M 'P 1'
_symmetry_Int_Tables_number 1
_symmetry_space_group_name_Hall 'P 1'
loop_
_atom_site_label
_atom_site_type_symbol
_atom_site_fract_x
_atom_site_fract_y
_atom_site_fract_z
_atom_site_occupancy
Y1 Y 0.255 0.755 0.510 1
In1 In 0.030 0.030 0.061 1
In2 In 0.726 0.226 0.452 1
La1 La 0.489 0.489 0.977 1

***

# AsIrSe2 | the Alexandria database | PBEsol | optimized geometry
# space-group type	R-3m (166)
# energy relative to the elements, uncorrected	0.30	eV per atom
data_AsIrSe2
_cell_length_a 2.794
_cell_length_b 2.794
_cell_length_c 11.625
_cell_angle_alpha 83.10
_cell_angle_beta 83.10
_cell_angle_gamma 60.00
_symmetry_space_group_name_H-M 'P 1'
_symmetry_Int_Tables_number 1
_symmetry_space_group_name_Hall 'P 1'
loop_
_atom_site_label
_atom_site_type_symbol
_atom_site_fract_x
_atom_site_fract_y
_atom_site_fract_z
_atom_site_occupancy
Se1 Se 0.069 0.069 0.793 1
As1 As 0.500 0.500 0.500 1
Se2 Se 0.931 0.931 0.207 1
Ir1 Ir 0.000 0.000 0.000 1

***

# MgCdPb2 | the Alexandria database | PBEsol | optimized geometry
# space-group type	I4/mmm (139)
# energy relative to the elements	-7	meV/atom
# polymorph energy (0 for the lowest one)	0.47	kcal/mol of atoms
data_MgCdPb2
_cell_length_a 4.782
_cell_length_b 4.782
_cell_length_c 5.634
_cell_angle_alpha 115.11
_cell_angle_beta 115.11
_cell_angle_gamma 90.00
_symmetry_space_group_name_H-M 'P 1'
_symmetry_Int_Tables_number 1
_symmetry_space_group_name_Hall 'P 1'
loop_
_atom_site_label
_atom_site_type_symbol
_atom_site_fract_x
_atom_site_fract_y
_atom_site_fract_z
_atom_site_occupancy
Pb1 Pb 0.750 0.250 0.500 1
Mg1 Mg 0.000 0.000 0.000 1
Cd1 Cd 0.500 0.500 0.000 1
Pb2 Pb 0.250 0.750 0.500 1

***

# SrLiCo2 | the Alexandria database | PBEsol | optimized geometry
# space-group type	P4/mmm (123)
# energy relative to the elements	715	meV/atom
# polymorph energy (0 for the lowest one)	6.50	kcal/mol of atoms
data_SrLiCo2
_cell_length_a 3.816
_cell_length_b 3.816
_cell_length_c 4.453
_cell_angle_alpha 90.00
_cell_angle_beta 90.00
_cell_angle_gamma 90.00
_symmetry_space_group_name_H-M 'P 1'
_symmetry_Int_Tables_number 1
_symmetry_space_group_name_Hall 'P 1'
loop_
_atom_site_label
_atom_site_type_symbol
_atom_site_fract_x
_atom_site_fract_y
_atom_site_fract_z
_atom_site_occupancy
Co1 Co 0.000 0.500 0.000 1
Li1 Li 0.500 0.500 0.500 1
Co2 Co 0.500 0.000 0.000 1
Sr1 Sr 0.000 0.000 0.500 1

***

# NdSb | the Alexandria database | PBEsol | optimized geometry
# space-group type	Fm-3m (225)
# energy relative to the elements, uncorrected	-1.20	eV per atom
data_NdSb
_cell_length_a 4.455
_cell_length_b 4.455
_cell_length_c 4.455
_cell_angle_alpha 60.00
_cell_angle_beta 60.00
_cell_angle_gamma 60.00
_symmetry_space_group_name_H-M 'P 1'
_symmetry_Int_Tables_number 1
_symmetry_space_group_name_Hall 'P 1'
loop_
_atom_site_label
_atom_site_type_symbol
_atom_site_fract_x
_atom_site_fract_y
_atom_site_fract_z
_atom_site_occupancy
Sb1 Sb 0.500 0.500 0.500 1
Nd1 Nd 0.000 0.000 0.000 1

***

# Pd2RuSeS | the Alexandria database | PBEsol | optimized geometry
# space-group type	P4/mmm (123)
# energy relative to the elements, uncorrected	1.14	eV per atom
data_Pd2RuSeS
_cell_length_a 4.516
_cell_length_b 4.516
_cell_length_c 4.757
_cell_angle_alpha 90.00
_cell_angle_beta 90.00
_cell_angle_gamma 90.00
_symmetry_space_group_name_H-M 'P 1'
_symmetry_Int_Tables_number 1
_symmetry_space_group_name_Hall 'P 1'
loop_
_atom_site_label
_atom_site_type_symbol
_atom_site_fract_x
_atom_site_fract_y
_atom_site_fract_z
_atom_site_occupancy
Pd1 Pd 0.000 0.500 0.000 1
S1 S 0.000 0.000 0.500 1
Pd2 Pd 0.500 0.000 0.000 1
Se1 Se 0.000 0.000 0.000 1
Ru1 Ru 0.500 0.500 0.500 1

***

# BaPtCl3 | the Alexandria database | PBEsol | optimized geometry
# space-group type	Pm-3m (221)
# energy relative to the elements, uncorrected	-1.21	eV per atom
data_BaPtCl3
_cell_length_a 4.958
_cell_length_b 4.958
_cell_length_c 4.958
_cell_angle_alpha 90.00
_cell_angle_beta 90.00
_cell_angle_gamma 90.00
_symmetry_space_group_name_H-M 'P 1'
_symmetry_Int_Tables_number 1
_symmetry_space_group_name_Hall 'P 1'
loop_
_atom_site_label
_atom_site_type_symbol
_atom_site_fract_x
_atom_site_fract_y
_atom_site_fract_z
_atom_site_occupancy
Ba1 Ba 0.500 0.500 0.500 1
Pt1 Pt 0.000 0.000 0.000 1
Cl1 Cl 0.000 0.500 0.000 1
Cl2 Cl 0.000 0.000 0.500 1
Cl3 Cl 0.500 0.000 0.000 1

***

# CoHg2Br | the Alexandria database | PBEsol | optimized geometry
# space-group type	P4/mmm (123)
# energy relative to the elements, uncorrected	0.36	eV per atom
# polymorph energy (0 for the lowest one)	2.35	kcal/mol of atoms
data_CoHg2Br
_cell_length_a 3.072
_cell_length_b 3.072
_cell_length_c 8.381
_cell_angle_alpha 90.00
_cell_angle_beta 90.00
_cell_angle_gamma 90.00
_symmetry_space_group_name_H-M 'P 1'
_symmetry_Int_Tables_number 1
_symmetry_space_group_name_Hall 'P 1'
loop_
_atom_site_label
_atom_site_type_symbol
_atom_site_fract_x
_atom_site_fract_y
_atom_site_fract_z
_atom_site_occupancy
Hg1 Hg 0.000 0.000 0.693 1
Br1 Br 0.500 0.500 0.000 1
Co1 Co 0.500 0.500 0.500 1
Hg2 Hg 0.000 0.000 0.307 1

***

# Zr2TlIn | the Alexandria database | PBEsol | optimized geometry
# space-group type	I4/mmm (139)
# energy relative to the elements	-277	meV/atom
# polymorph energy (0 for the lowest one)	0.01	kcal/mol of atoms
data_Zr2TlIn
_cell_length_a 4.438
_cell_length_b 4.438
_cell_length_c 5.363
_cell_angle_alpha 114.44
_cell_angle_beta 114.44
_cell_angle_gamma 90.00
_symmetry_space_group_name_H-M 'P 1'
_symmetry_Int_Tables_number 1
_symmetry_space_group_name_Hall 'P 1'
loop_
_atom_site_label
_atom_site_type_symbol
_atom_site_fract_x
_atom_site_fract_y
_atom_site_fract_z
_atom_site_occupancy
Zr1 Zr 0.750 0.250 0.500 1
In1 In 0.500 0.500 0.000 1
Zr2 Zr 0.250 0.750 0.500 1
Tl1 Tl 0.000 0.000 0.000 1

***

# LaWSe | the Alexandria database | PBEsol | optimized geometry
# space-group type	F-43m (216)
# energy relative to the elements, uncorrected	0.53	eV per atom
# polymorph energy (0 for the lowest one)	0.00	kcal/mol of atoms
data_LaWSe
_cell_length_a 4.542
_cell_length_b 4.542
_cell_length_c 4.542
_cell_angle_alpha 60.00
_cell_angle_beta 60.00
_cell_angle_gamma 60.00
_symmetry_space_group_name_H-M 'P 1'
_symmetry_Int_Tables_number 1
_symmetry_space_group_name_Hall 'P 1'
loop_
_atom_site_label
_atom_site_type_symbol
_atom_site_fract_x
_atom_site_fract_y
_atom_site_fract_z
_atom_site_occupancy
La1 La 0.000 0.000 0.000 1
Se1 Se 0.500 0.500 0.500 1
W1 W 0.250 0.250 0.250 1

***

# TaHgRh2 | the Alexandria database | PBEsol | optimized geometry
# space-group type	R-3m (166)
# energy relative to the elements	-124	meV/atom
data_TaHgRh2
_cell_length_a 3.089
_cell_length_b 3.089
_cell_length_c 8.422
_cell_angle_alpha 79.43
_cell_angle_beta 79.43
_cell_angle_gamma 60.00
_symmetry_space_group_name_H-M 'P 1'
_symmetry_Int_Tables_number 1
_symmetry_space_group_name_Hall 'P 1'
loop_
_atom_site_label
_atom_site_type_symbol
_atom_site_fract_x
_atom_site_fract_y
_atom_site_fract_z
_atom_site_occupancy
Hg1 Hg 0.000 0.000 0.000 1
Rh1 Rh 0.759 0.759 0.724 1
Rh2 Rh 0.241 0.241 0.276 1
Ta1 Ta 0.500 0.500 0.500 1

***

D(E_F) for the records above, in order: 4.15; 5.11; 2.04; 2.80; 1.55; 4.30; 0.31; 6.21; 1.01; 6.34; 2.78; 3.50; 2.90 states/eV/cell